# CsPmFeO3

CsPmFeO3 after structural relaxation (GGA+U, the Alexandria database).

Cell lengths 3.7575, 8.1392, 9.3869 Å; angles 110.68, 90.00, 90.00 degrees
Last column: magnetic moment on the atom in μB.
Positions (direct):
Cs (0.7500, 0.7964, 0.8074)  0.00
Cs (0.2500, 0.2036, 0.1926)  0.00
Pm (0.2500, 0.6633, 0.1411)  0.00
Pm (0.7500, 0.3367, 0.8589)  0.00
Fe (0.2500, 0.0497, 0.6251)  3.73
Fe (0.7500, 0.9503, 0.3749)  3.73
O (0.2500, 0.8739, 0.4058)  0.14
O (0.7500, 0.8590, 0.1501)  0.06
O (0.7500, 0.4710, 0.1203)  0.00
O (0.7500, 0.1261, 0.5942)  0.14
O (0.2500, 0.5290, 0.8797)  0.00
O (0.2500, 0.1410, 0.8499)  0.06

Values from the calculation:
**Size of the total moment**: 4.02 μB/f.u.
**E**: -6.48 eV/atom